No. 1
Here is Nd5HoTl2 after structural relaxation from Alexandria. Energies are from PBE-GGA.

The value obtained for the total energy is -4.21 eV/atom. The energy of formation from the pure elements is -0.07 eV per atom. The density comes out at 7.8 g/cm³. The calculation puts the energy above the most stable polymorph in this dataset at 36 meV/atom.

The space group is P6_3/mmc (No. 194) and the conventional cell measures 5.5718, 5.5718 and 20.4053 Å, with angles of 90.00, 90.00 and 120.00 degrees. The inequivalent atoms are Nd at (0.0000, 0.0000, 0.1617), Nd at (0.3333, 0.6667, 0.0612), Nd at (0.3333, 0.6667, 0.2500), Ho at (0.3333, 0.6667, 0.7500) and Tl at (0.3333, 0.6667, 0.5972).

No. 2
Here is Zn4CuSb after structural relaxation from Alexandria. Energies are from PBE-GGA.

The value obtained for the total energy is -2.02 eV/atom. The density comes out at 7.3 g/cm³.

The space group is F-43m (No. 216) and the conventional cell measures 7.4166, 7.4166 and 7.4166 Å, with angles of 90.00, 90.00 and 90.00 degrees. The inequivalent atoms are Zn at (0.1239, 0.1239, 0.1239), Cu at (0.2500, 0.2500, 0.7500) and Sb at (0.0000, 0.0000, 0.5000).

No. 3
Here is TbScNi after structural relaxation from Alexandria. Energies are from PBE-GGA.

The value obtained for the total energy is -5.69 eV/atom. The energy of formation from the pure elements is -0.11 eV per atom. The density comes out at 6.7 g/cm³. The calculation puts the energy above the most stable polymorph in this dataset at 181 meV/atom.

The space group is P3m1 (No. 156) and the conventional cell measures 4.3798, 4.3798 and 3.9399 Å, with angles of 90.00, 90.00 and 120.00 degrees. The inequivalent atoms are Tb at (0.0000, 0.0000, 0.0000), Sc at (0.6667, 0.3333, 0.5097) and Ni at (0.3333, 0.6667, 0.3718).

No. 4
Here is Na3PmY2Te6 after structural relaxation from Alexandria. Energies are from PBE-GGA.

The value obtained for the total energy is -4.70 eV/atom. The density comes out at 4.9 g/cm³.

The space group is C2/m (No. 12) and the conventional cell measures 7.7262, 13.3836 and 7.9965 Å, with angles of 90.00, 108.81 and 90.00 degrees. The inequivalent atoms are Na at (0.0000, 0.0000, 0.0000), Na at (0.0000, 0.3350, 0.0000), Pm at (0.0000, 0.5000, 0.5000), Y at (0.0000, 0.1669, 0.5000), Te at (0.2390, 0.0000, 0.7341) and Te at (0.2476, 0.3306, 0.7342).

Number 2 is which compound? Zn4CuSb